(1)
# SrTc2Os

An optimized crystal structure of SrTc2Os (PBEsol, the Alexandria database).

The calculation puts the energy relative to the lowest polymorph listed for this composition at 5.23 kcal/mol of atoms. The total energy comes out at -0.298 Ha/atom. For the formation energy, the calculation gives 404 kJ/mol of formula units.

The structure belongs to space group C2/m (No. 12); the cell edges are 5.620, 9.220 and 2.682 Å and the angles 90.00°, 107.44° and 90.00°. The inequivalent atoms are Sr at (0.000, 0.000, 0.000), Tc at (0.250, 0.250, 0.500) and Os at (0.000, 0.500, 0.000).

---

(2)
# Hf2TaSi2

An optimized crystal structure of Hf2TaSi2 (PBEsol, the Alexandria database).

The total energy comes out at -0.363 Ha/atom. The calculation puts the formation energy (no corrections) at -0.85 eV/atom.

The structure belongs to space group P4/mbm (No. 127); the cell edges are 6.771, 6.771 and 3.660 Å and the angles 90.00°, 90.00° and 90.00°. The inequivalent atoms are Hf at (0.175, 0.325, 0.000), Ta at (0.000, 0.000, 0.500) and Si at (0.126, 0.626, 0.500).

---

(3)
# ZrTa3Al

An optimized crystal structure of ZrTa3Al (PBEsol, the Alexandria database).

The calculation puts the energy relative to the lowest polymorph listed for this composition at 0.00 kcal/mol of atoms. The total energy comes out at -0.332 Ha/atom. For the formation energy, the calculation gives 543 kJ/mol of formula units.

The structure belongs to space group Pm-3m (No. 221); the cell edges are 4.700, 4.700 and 4.700 Å and the angles 90.00°, 90.00° and 90.00°. The inequivalent atoms are Zr at (0.000, 0.000, 0.000), Ta at (0.000, 0.500, 0.500) and Al at (0.500, 0.500, 0.500).

---

(4)
# LiCaFe

An optimized crystal structure of LiCaFe (PBEsol, the Alexandria database).

The total energy comes out at -0.118 Ha/atom. For the formation energy, the calculation gives 331 kJ/mol of formula units.

The structure belongs to space group F-43m (No. 216); the cell edges are 6.699, 6.699 and 6.699 Å and the angles 90.00°, 90.00° and 90.00°. The inequivalent atoms are Li at (0.000, 0.000, 0.000), Ca at (0.250, 0.250, 0.750) and Fe at (0.000, 0.000, 0.500).

---

| no. | V (A^3/atom) |
| --- | --- |
| 1 | 16.6 |
| 2 | 16.8 |
| 3 | 20.8 |
| 4 | 25.0 |